(1)
## Ca12Hg5H2 (PBE)

Data for crystalline Ca12Hg5H2 at its relaxed geometry.

The crystal system is monoclinic. The value obtained for the density is 4.107 g/cm³. For the total DFT energy (no corrections), the calculation gives -38.0 eV per cell.

abc: 8.853 8.853 9.192
angles: 106.81 106.81 62.38
Sites, in units of the cell vectors:
Ca (0.004, 0.004, 0.219)
Ca (0.068, 0.651, 0.450)
Ca (0.096, 0.601, 0.914)
Ca (0.349, 0.932, 0.550)
Ca (0.399, 0.904, 0.086)
Ca (0.451, 0.451, 0.290)
Ca (0.549, 0.549, 0.710)
Ca (0.601, 0.096, 0.914)
Ca (0.651, 0.068, 0.450)
Ca (0.904, 0.399, 0.086)
Ca (0.932, 0.349, 0.550)
Ca (0.996, 0.996, 0.781)
Hg (0.204, 0.204, 0.868)
Hg (0.232, 0.232, 0.349)
Hg (0.500, 0.500, 0.000)
Hg (0.768, 0.768, 0.651)
Hg (0.796, 0.796, 0.132)
H (0.343, 0.657, 0.500)
H (0.657, 0.343, 0.500)

***

(2)
## Ca3HgH (PBE)

Data for crystalline Ca3HgH at its relaxed geometry.

The crystal system is cubic. The value obtained for the density is 4.333 g/cm³. The calculation puts the energy above the most stable polymorph in this dataset at 0.34 eV/f.u.

abc: 4.978 4.978 4.978
angles: 90.00 90.00 90.00
Sites, in units of the cell vectors:
Ca (0.000, 0.000, 0.500)
Ca (0.000, 0.500, 0.000)
Ca (0.500, 0.000, 0.000)
Hg (0.500, 0.500, 0.500)
H (0.000, 0.000, 0.000)

***

(3)
## Ca4HgH (PBE)

Data for crystalline Ca4HgH at its relaxed geometry.

The crystal system is tetragonal. The value obtained for the density is 3.131 g/cm³. The calculation puts the energy above the most stable polymorph in this dataset at 0.00 eV/f.u.

abc: 7.964 7.964 7.964
angles: 105.88 105.88 116.92
Sites, in units of the cell vectors:
Ca (0.211, 0.272, 0.561)
Ca (0.211, 0.650, 0.939)
Ca (0.272, 0.211, 0.061)
Ca (0.350, 0.789, 0.561)
Ca (0.650, 0.211, 0.439)
Ca (0.728, 0.789, 0.939)
Ca (0.789, 0.350, 0.061)
Ca (0.789, 0.728, 0.439)
Hg (0.125, 0.875, 0.250)
Hg (0.875, 0.125, 0.750)
H (0.375, 0.625, 0.750)
H (0.625, 0.375, 0.250)

***

(4)
## CaHg3H (PBE)

Data for crystalline CaHg3H at its relaxed geometry.

The crystal system is cubic. The value obtained for the density is 9.664 g/cm³. For the total DFT energy (no corrections), the calculation gives -6.1 eV per cell.

abc: 4.798 4.798 4.798
angles: 90.00 90.00 90.00
Sites, in units of the cell vectors:
Ca (0.000, 0.000, 0.000)
Hg (0.000, 0.500, 0.500)
Hg (0.500, 0.000, 0.500)
Hg (0.500, 0.500, 0.000)
H (0.500, 0.500, 0.500)

***

(5)
## Ca2HgH (PBE)

Data for crystalline Ca2HgH at its relaxed geometry.

The crystal system is trigonal. The value obtained for the density is 4.311 g/cm³. The calculation puts the energy above the most stable polymorph in this dataset at 1.61 eV/f.u.

abc: 9.412 9.412 9.412
angles: 22.65 22.65 22.65
Sites, in units of the cell vectors:
Ca (0.115, 0.115, 0.115)
Ca (0.885, 0.885, 0.885)
Hg (0.000, 0.000, 0.000)
H (0.500, 0.500, 0.500)

***

(6)
## CaHgH (PBE)

Data for crystalline CaHgH at its relaxed geometry.

The crystal system is monoclinic. The value obtained for the density is 6.342 g/cm³. The calculation puts the energy above the most stable polymorph in this dataset at 0.35 eV/f.u.

abc: 10.086 10.086 11.588
angles: 105.68 105.68 105.99
Sites, in units of the cell vectors:
Ca (0.000, 0.000, 0.000)
Ca (0.043, 0.552, 0.434)
Ca (0.084, 0.828, 0.255)
Ca (0.144, 0.918, 0.672)
Ca (0.252, 0.252, 0.304)
Ca (0.357, 0.601, 0.256)
Ca (0.377, 0.901, 0.092)
Ca (0.552, 0.043, 0.434)
Ca (0.601, 0.357, 0.256)
Ca (0.626, 0.898, 0.900)
Ca (0.662, 0.662, 0.075)
Ca (0.806, 0.806, 0.410)
Ca (0.828, 0.084, 0.255)
Ca (0.898, 0.626, 0.900)
Ca (0.901, 0.377, 0.092)
Ca (0.918, 0.144, 0.672)
Hg (0.113, 0.301, 0.517)
Hg (0.124, 0.308, 0.982)
Hg (0.278, 0.278, 0.770)
Hg (0.287, 0.716, 0.765)
Hg (0.295, 0.570, 0.955)
Hg (0.301, 0.113, 0.517)
Hg (0.308, 0.124, 0.982)
Hg (0.373, 0.573, 0.533)
Hg (0.468, 0.995, 0.687)
Hg (0.529, 0.529, 0.776)
Hg (0.570, 0.295, 0.955)
Hg (0.573, 0.373, 0.533)
Hg (0.645, 0.831, 0.603)
Hg (0.716, 0.287, 0.765)
Hg (0.831, 0.645, 0.603)
Hg (0.995, 0.468, 0.687)
H (0.029, 0.772, 0.432)
H (0.046, 0.046, 0.209)
H (0.105, 0.830, 0.056)
H (0.109, 0.586, 0.260)
H (0.358, 0.842, 0.266)
H (0.412, 0.412, 0.270)
H (0.586, 0.109, 0.260)
H (0.609, 0.609, 0.242)
H (0.613, 0.884, 0.092)
H (0.772, 0.029, 0.432)
H (0.803, 0.803, 0.978)
H (0.830, 0.105, 0.056)
H (0.842, 0.358, 0.266)
H (0.853, 0.853, 0.247)
H (0.884, 0.613, 0.092)
H (0.973, 0.973, 0.581)